No. 1
A plane-wave DFT calculation with PBE-GGA was carried out for crystalline Pu2Tl3CdTe6 at its relaxed geometry.

DOS(E_F)   25.1 states/eV/cell
Final energy   -5.226 eV/atom
Uncorrected formation energy   -598 meV per atom

Cell: 7.7146 7.7146 8.5187 Å, 98.66 98.66 120.02°
Closest atoms and distances in Å follow each position.
Positions (direct):
1 Te 0.7360 0.7360 0.2136  2 Pu 3.10, 1 Cd 3.11, 1 Tl 3.46
2 Tl 0.5000 0.5000 0.5000  6 Te 3.46-3.47
3 Pu 0.6666 0.3334 0.0000  6 Te 3.10
4 Te 0.5933 0.9289 0.7860  2 Pu 3.10, 1 Cd 3.12, 1 Tl 3.44
5 Tl 0.1685 0.8315 0.5000  6 Te 3.44-3.49
6 Te 0.2640 0.2640 0.7864  2 Pu 3.10, 1 Cd 3.11, 1 Tl 3.46
7 Pu 0.3334 0.6666 0.0000  6 Te 3.10
8 Te 0.9289 0.5933 0.7860  2 Pu 3.10, 1 Cd 3.12, 1 Tl 3.44
9 Te 0.4067 0.0711 0.2140  2 Pu 3.10, 1 Cd 3.12, 1 Tl 3.44
10 Te 0.0711 0.4067 0.2140  2 Pu 3.10, 1 Cd 3.12, 1 Tl 3.44
11 Tl 0.8315 0.1685 0.5000  6 Te 3.44-3.49
12 Cd 0.0000 0.0000 0.0000  6 Te 3.11-3.12


No. 2
A plane-wave DFT calculation with PBE-GGA was carried out for crystalline PuTh2Cd at its relaxed geometry.

DOS(E_F)   6.5 states/eV/cell
Final energy   -7.462 eV/atom
ΔH_f (0 K)   0.060 eV per atom
Relative energy among the computed polymorphs   74 meV per atom

Cell: 3.6131 3.6131 8.8844 Å, 90.00 90.00 90.00°
Closest atoms and distances in Å follow each position.
Positions (direct):
1 Th 0.0000 0.0000 0.2483  4 Cd 3.38, 4 Pu 3.40, 4 Th 3.61
2 Cd 0.5000 0.5000 0.0000  8 Th 3.38, 4 Cd 3.61
3 Pu 0.5000 0.5000 0.5000  8 Th 3.40, 4 Pu 3.61
4 Th 0.0000 0.0000 0.7517  4 Cd 3.38, 4 Pu 3.40, 4 Th 3.61


No. 3
A plane-wave DFT calculation with PBE-GGA was carried out for crystalline PuTh2Cd at its relaxed geometry.

DOS(E_F)   10.4 states/eV/cell
Final energy   -7.259 eV/atom
ΔH_f (0 K)   0.262 eV per atom
Relative energy among the computed polymorphs   276 meV per atom

Cell: 3.3567 3.3567 12.3278 Å, 82.18 82.18 60.00°
Closest atoms and distances in Å follow each position.
Positions (direct):
1 Th 0.0890 0.0890 0.7329  1 Pu 3.25, 6 Th 3.36, 3 Cd 3.43
2 Th 0.9110 0.9110 0.2671  1 Pu 3.25, 6 Th 3.36, 3 Cd 3.43
3 Cd 0.5000 0.5000 0.5000  6 Cd 3.36, 6 Th 3.43
4 Pu 0.0000 0.0000 0.0000  2 Th 3.25, 6 Pu 3.36


No. 4
A plane-wave DFT calculation with PBE-GGA was carried out for crystalline PuTh2Cd at its relaxed geometry.

DOS(E_F)   7.4 states/eV/cell
Final energy   -7.536 eV/atom
ΔH_f (0 K)   -0.014 eV per atom
Relative energy among the computed polymorphs   0 meV per atom

Cell: 3.6091 5.5869 5.5869 Å, 90.00 90.00 90.00°
Closest atoms and distances in Å follow each position.
Positions (direct):
1 Th 0.0000 0.5000 0.0000  4 Cd 3.33, 4 Pu 3.33, 2 Th 3.61
2 Pu 0.5000 0.0000 0.0000  8 Th 3.33, 2 Pu 3.61
3 Cd 0.5000 0.5000 0.5000  8 Th 3.33, 2 Cd 3.61
4 Th 0.0000 0.0000 0.5000  4 Cd 3.33, 4 Pu 3.33, 2 Th 3.61


No. 5
A plane-wave DFT calculation with PBE-GGA was carried out for crystalline PuThCd at its relaxed geometry.

DOS(E_F)   7.7 states/eV/cell
Final energy   -7.512 eV/atom
ΔH_f (0 K)   0.044 eV per atom
Relative energy among the computed polymorphs   0 meV per atom

Cell: 5.2508 6.2928 9.3266 Å, 116.08 106.35 33.45°
Closest atoms and distances in Å follow each position.
Positions (direct):
1 Th 0.1544 0.4413 0.1919  6 Pu 3.25-3.52, 4 Cd 3.34-3.48, 4 Th 3.47-3.61
2 Cd 0.5280 0.6935 0.4430  6 Cd 3.28-3.47, 4 Th 3.34-3.48, 2 Pu 3.37-3.38
3 Cd 0.4720 0.3065 0.5570  6 Cd 3.28-3.47, 4 Th 3.34-3.48, 2 Pu 3.37-3.38
4 Th 0.8456 0.5587 0.8081  6 Pu 3.25-3.52, 4 Cd 3.34-3.48, 4 Th 3.47-3.61
5 Pu 0.7960 0.1579 0.9078  2 Pu 2.31
6 Pu 0.2040 0.8421 0.0922  2 Pu 2.31


No. 6
A plane-wave DFT calculation with PBE-GGA was carried out for crystalline PuThCd at its relaxed geometry.

DOS(E_F)   8.7 states/eV/cell
Final energy   -7.427 eV/atom
ΔH_f (0 K)   0.128 eV per atom
Relative energy among the computed polymorphs   85 meV per atom

Cell: 3.4415 3.4415 8.3859 Å, 90.00 90.00 120.00°
Closest atoms and distances in Å follow each position.
Positions (direct):
1 Pu 0.0000 0.0000 0.0092  3 Cd 3.34, 6 Pu 3.44, 3 Th 3.52
2 Th 0.3333 0.6667 0.6622  3 Cd 3.43, 6 Th 3.44, 3 Pu 3.52
3 Cd 0.6667 0.3333 0.3286  3 Pu 3.34, 3 Th 3.43, 6 Cd 3.44